Entry 1:
Below is a relaxed structure of TiNbSi2, with properties calculated at the PBE level.

Unit cell a=4.435 b=4.435 c=4.435 alpha=60.00 beta=60.00 gamma=60.00
Positions (direct):
1 Nb 0.500 0.500 0.500
2 Si 0.250 0.250 0.250
3 Si 0.750 0.750 0.750
4 Ti 0.000 0.000 0.000

Properties
energy relative to the elements, uncorrected: -0.24 eV/atom
SG: Fm-3m
spin magnetization: 0.00 Bohr magnetons per cell

=====

Entry 2:
Below is a relaxed structure of TiNbSi, with properties calculated at the PBE level.

Unit cell a=4.485 b=4.485 c=5.408 alpha=90.00 beta=90.00 gamma=119.96
Positions (direct):
1 Ti 0.766 0.099 0.750
2 Ti 0.099 0.766 0.250
3 Si 0.765 0.099 0.250
4 Si 0.099 0.765 0.750
5 Nb 0.432 0.432 0.000
6 Nb 0.432 0.432 0.500

Properties
energy relative to the elements, uncorrected: -0.55 eV/atom
SG: P6_3/mmc
spin magnetization: 0.00 Bohr magnetons per cell

=====

Entry 3:
Below is a relaxed structure of Ti5Nb5Si6, with properties calculated at the PBE level.

Unit cell a=5.124 b=7.581 c=7.581 alpha=121.43 beta=90.00 gamma=90.00
Positions (direct):
1 Ti 0.751 0.335 0.667
2 Ti 0.751 0.667 0.335
3 Ti 0.249 0.667 0.335
4 Ti 0.249 0.335 0.667
5 Ti 0.000 0.231 0.231
6 Nb 0.000 0.742 0.998
7 Nb 0.000 0.998 0.742
8 Nb 0.500 0.777 0.777
9 Nb 0.500 0.250 0.000
10 Nb 0.500 0.000 0.250
11 Si 0.000 0.598 0.598
12 Si 0.000 0.393 0.001
13 Si 0.000 0.001 0.393
14 Si 0.500 0.402 0.402
15 Si 0.500 0.601 0.002
16 Si 0.500 0.002 0.601

Properties
energy relative to the elements, uncorrected: -0.70 eV/atom
SG: Amm2
spin magnetization: 0.00 Bohr magnetons per cell

=====

Entry 4:
Below is a relaxed structure of NbTlSi2, with properties calculated at the PBE level.

Unit cell a=6.305 b=6.305 c=7.037 alpha=63.39 beta=63.39 gamma=90.00
Positions (direct):
1 Tl 0.000 0.000 0.000
2 Tl 0.750 0.250 0.500
3 Si 0.595 0.125 0.250
4 Si 0.155 0.625 0.250
5 Si 0.375 0.405 0.750
6 Si 0.875 0.845 0.750
7 Nb 0.500 0.500 0.000
8 Nb 0.250 0.750 0.500

Properties
energy relative to the elements, uncorrected: 0.78 eV/atom
SG: I-42d
spin magnetization: 0.00 Bohr magnetons per cell

=====

Entry 5:
Below is a relaxed structure of Nb2TlSi, with properties calculated at the PBE level.

Unit cell a=3.994 b=3.994 c=10.395 alpha=78.92 beta=78.92 gamma=90.00
Positions (direct):
1 Tl 0.000 0.000 0.000
2 Tl 0.750 0.250 0.500
3 Si 0.500 0.500 0.000
4 Si 0.250 0.750 0.500
5 Nb 0.611 0.125 0.250
6 Nb 0.139 0.625 0.250
7 Nb 0.375 0.389 0.750
8 Nb 0.875 0.861 0.750

Properties
energy relative to the elements, uncorrected: 0.53 eV/atom
SG: I-42d
spin magnetization: 0.00 Bohr magnetons per cell

=====

Entry 6:
Below is a relaxed structure of NbTl2Si2, with properties calculated at the PBE level.

Unit cell a=3.934 b=3.934 c=7.967 alpha=75.71 beta=75.71 gamma=90.00
Site moments in Bohr magnetons follow the coordinates.
Positions (direct):
1 Tl 0.750 0.250 0.500  0.00
2 Tl 0.250 0.750 0.500  0.00
3 Si 0.423 0.423 0.154  -0.01
4 Si 0.577 0.577 0.846  -0.01
5 Nb 0.000 0.000 0.000  0.76

Properties
energy relative to the elements, uncorrected: 0.75 eV/atom
SG: I4/mmm
spin magnetization: 0.92 Bohr magnetons per cell

=====

Entry 7:
Below is a relaxed structure of NbTlSi2, with properties calculated at the PBE level.

Unit cell a=4.722 b=4.722 c=4.722 alpha=60.00 beta=60.00 gamma=60.00
Positions (direct):
1 Tl 0.500 0.500 0.500
2 Si 0.250 0.250 0.250
3 Si 0.750 0.750 0.750
4 Nb 0.000 0.000 0.000

Properties
energy relative to the elements, uncorrected: 0.66 eV/atom
SG: Fm-3m
spin magnetization: 0.00 Bohr magnetons per cell

=====

Entry 8:
Below is a relaxed structure of NbTl2Si2, with properties calculated at the PBE level.

Unit cell a=6.908 b=6.908 c=4.276 alpha=90.00 beta=90.00 gamma=90.00
Positions (direct):
1 Tl 0.185 0.685 0.500
2 Tl 0.685 0.815 0.500
3 Tl 0.815 0.315 0.500
4 Tl 0.315 0.185 0.500
5 Si 0.375 0.875 0.000
6 Si 0.875 0.625 0.000
7 Si 0.625 0.125 0.000
8 Si 0.125 0.375 0.000
9 Nb 0.000 0.000 0.000
10 Nb 0.500 0.500 0.000

Properties
energy relative to the elements, uncorrected: 0.43 eV/atom
SG: P4/mbm
spin magnetization: 0.00 Bohr magnetons per cell

=====

Entry 9:
Below is a relaxed structure of Nb2TlVSi, with properties calculated at the PBE level.

Unit cell a=4.700 b=4.827 c=4.700 alpha=90.00 beta=90.00 gamma=90.00
Positions (direct):
1 Tl 0.000 0.500 0.000
2 Si 0.000 0.000 0.000
3 Nb 0.000 0.000 0.500
4 Nb 0.500 0.000 0.000
5 V 0.500 0.500 0.500

Properties
energy relative to the elements, uncorrected: 1.20 eV/atom
SG: P4/mmm
spin magnetization: 0.00 Bohr magnetons per cell

=====

Entry 10:
Below is a relaxed structure of NbTl2SiW, with properties calculated at the PBE level.

Unit cell a=4.946 b=4.760 c=4.946 alpha=90.00 beta=90.00 gamma=90.00
Positions (direct):
1 Tl 0.000 0.000 0.500
2 Tl 0.500 0.000 0.000
3 Si 0.000 0.000 0.000
4 Nb 0.000 0.500 0.000
5 W 0.500 0.500 0.500

Properties
energy relative to the elements, uncorrected: 1.76 eV/atom
SG: P4/mmm
spin magnetization: 0.00 Bohr magnetons per cell

=====

Entry 11:
Below is a relaxed structure of YNbTlSi2, with properties calculated at the PBE level.

Unit cell a=5.332 b=5.246 c=5.332 alpha=90.00 beta=90.00 gamma=90.00
Site moments in Bohr magnetons follow the coordinates.
Positions (direct):
1 Y 0.000 0.000 0.000  0.05
2 Tl 0.500 0.500 0.500  0.02
3 Si 0.000 0.000 0.500  -0.03
4 Si 0.500 0.000 0.000  -0.04
5 Nb 0.000 0.500 0.000  1.56

Properties
energy relative to the elements, uncorrected: 1.36 eV/atom
SG: P4/mmm
spin magnetization: 1.91 Bohr magnetons per cell

=====

Entry 12:
Below is a relaxed structure of TmNbSi, with properties calculated at the PBE level.

Unit cell a=3.913 b=5.531 c=6.359 alpha=76.16 beta=72.08 gamma=69.28
Positions (direct):
1 Tm 0.424 0.826 0.326
2 Tm 0.576 0.174 0.674
3 Nb 0.820 0.290 0.071
4 Nb 0.180 0.710 0.929
5 Si 0.137 0.400 0.326
6 Si 0.863 0.600 0.674

Properties
energy relative to the elements, uncorrected: -0.52 eV/atom
SG: C2/m
spin magnetization: 0.00 Bohr magnetons per cell

=====

DFT total energy (eV per atom)
-7.440; -8.351; -8.349; -5.043; -6.452; -4.379; -5.159; -4.701; -6.212; -4.880; -4.586; -7.171